[1]
This record from OQMD describes a relaxed W3I4Cl2 crystal. The functional is PBE.

The raw total energy comes out at -5.811 eV per atom.

The structure belongs to space group Cmce (No. 64); the cell edges are 16.042, 12.271 and 12.276 Å and the angles 90.00°, 90.00° and 90.00°. The distinct sites, in fractional coordinates, are W at (0.000, 0.085, 0.128), W at (0.000, 0.128, 0.915), W at (0.118, 0.000, 0.000), I at (0.124, 0.046, 0.774), I at (0.124, 0.226, 0.046), Cl at (0.000, 0.189, 0.311) and Cl at (0.229, 0.000, 0.500).

[2]
This record from OQMD describes a relaxed ErCd crystal. The functional is PBE.

Its calculated formation energy is 0.6 kcal/mol of atoms.

The structure belongs to space group P6_3/mmc (No. 194); the cell edges are 4.3815, 4.3815 and 6.7783 Å and the angles 90.00°, 90.00° and 120.00°. The distinct sites, in fractional coordinates, are Er at (0.3333, 0.6667, 0.2500) and Cd at (0.0000, 0.0000, 0.0000).

[3]
This record from OQMD describes a relaxed Tb2ErCu4Si2Sn2 crystal. The functional is PBE.

The raw total energy comes out at -4.912 eV per atom.

The structure belongs to space group Immm (No. 71); the cell edges are 4.339, 6.602 and 14.327 Å and the angles 90.00°, 90.00° and 90.00°. The distinct sites, in fractional coordinates, are Tb at (0.000, 0.000, 0.124), Er at (0.000, 0.500, 0.000), Cu at (0.000, 0.190, 0.346), Si at (0.000, 0.317, 0.500) and Sn at (0.000, 0.500, 0.217).